Record 1
First-principles (meta-GGA SCAN) data for a crystal of GeIrCl3 relaxed with PBEsol, as listed in Alexandria.

a b c (Å): 4.8904 4.8904 4.8904
angles (deg): 90.00 90.00 90.00
Closest atoms and distances in Å follow each position.
Element x y z (fractional)
Ge: 0.0000 0.0000 0.0000  6 Cl 2.45
Ir: 0.5000 0.5000 0.5000  12 Cl 3.46
Cl: 0.0000 0.0000 0.5000  2 Ge 2.45
Cl: 0.0000 0.5000 0.0000  2 Ge 2.45
Cl: 0.5000 0.0000 0.0000  2 Ge 2.45

symmetry = Pm-3m (221)
magnetic moment = 3.76 μB/f.u.
calculated volume = 23.39 Å³ per atom
DFT total energy = -22.137 eV per atom

Record 2
First-principles (meta-GGA SCAN) data for a crystal of Li2GeIrCl relaxed with PBEsol, as listed in Alexandria.

a b c (Å): 4.8096 4.8096 4.5980
angles (deg): 90.00 90.00 90.00
Closest atoms and distances in Å follow each position.
Element x y z (fractional)
Li: 0.0000 0.5000 0.0000  2 Ir 2.40
Li: 0.5000 0.0000 0.0000  2 Ir 2.40
Ge: 0.0000 0.0000 0.5000  2 Ir 2.30
Ir: 0.0000 0.0000 0.0000  2 Ge 2.30, 4 Li 2.40
Cl: 0.5000 0.5000 0.5000  8 Li 3.33, 4 Ge 3.40

symmetry = P4/mmm (123)
magnetic moment = 0.00 μB/f.u.
calculated volume = 21.27 Å³ per atom
DFT total energy = -20.838 eV per atom

Record 3
First-principles (meta-GGA SCAN) data for a crystal of GePIrCl2 relaxed with PBEsol, as listed in Alexandria.

a b c (Å): 4.8261 4.8261 4.4901
angles (deg): 90.00 90.00 90.00
Closest atoms and distances in Å follow each position.
Element x y z (fractional)
Ge: 0.0000 0.0000 0.0000  8 Cl 3.30, 4 P 3.41
P: 0.5000 0.5000 0.0000  2 Ir 2.25
Ir: 0.5000 0.5000 0.5000  2 P 2.25, 4 Cl 2.41
Cl: 0.0000 0.5000 0.5000  2 Ir 2.41
Cl: 0.5000 0.0000 0.5000  2 Ir 2.41

symmetry = P4/mmm (123)
magnetic moment = 0.01 μB/f.u.
calculated volume = 20.92 Å³ per atom
DFT total energy = -22.880 eV per atom

Record 4
First-principles (meta-GGA SCAN) data for a crystal of KGePCl2 relaxed with PBEsol, as listed in Alexandria.

a b c (Å): 5.2147 5.2147 4.7868
angles (deg): 90.00 90.00 90.00
Closest atoms and distances in Å follow each position.
Element x y z (fractional)
K: 0.0000 0.0000 0.0000  8 Cl 3.54, 4 P 3.69
Ge: 0.5000 0.5000 0.5000  2 P 2.39, 4 Cl 2.61
P: 0.5000 0.5000 0.0000  2 Ge 2.39
Cl: 0.0000 0.5000 0.5000  2 Ge 2.61
Cl: 0.5000 0.0000 0.5000  2 Ge 2.61

symmetry = P4/mmm (123)
magnetic moment = 1.18 μB/f.u.
calculated volume = 26.03 Å³ per atom
DFT total energy = -11.333 eV per atom

Record 5
First-principles (meta-GGA SCAN) data for a crystal of La2GeNCl relaxed with PBEsol, as listed in Alexandria.

a b c (Å): 5.4142 5.4142 3.8811
angles (deg): 90.00 90.00 90.00
Closest atoms and distances in Å follow each position.
Element x y z (fractional)
La: 0.0000 0.5000 0.0000  2 Cl 2.71
La: 0.5000 0.0000 0.0000  2 Cl 2.71
Ge: 0.0000 0.0000 0.5000  8 La 3.33
N: 0.5000 0.5000 0.5000  2 Cl 1.94
Cl: 0.5000 0.5000 0.0000  2 N 1.94

symmetry = P4/mmm (123)
magnetic moment = 0.00 μB/f.u.
calculated volume = 22.75 Å³ per atom
DFT total energy = -24.670 eV per atom

Record 6
First-principles (meta-GGA SCAN) data for a crystal of Li3GeCl relaxed with PBEsol, as listed in Alexandria.

a b c (Å): 4.5021 4.5021 4.5021
angles (deg): 90.00 90.00 90.00
Closest atoms and distances in Å follow each position.
Element x y z (fractional)
Li: 0.0000 0.0000 0.5000  2 Cl 2.25
Li: 0.0000 0.5000 0.0000  2 Cl 2.25
Li: 0.5000 0.0000 0.0000  2 Cl 2.25
Ge: 0.5000 0.5000 0.5000  12 Li 3.18
Cl: 0.0000 0.0000 0.0000  6 Li 2.25

symmetry = Pm-3m (221)
magnetic moment = 0.00 μB/f.u.
calculated volume = 18.25 Å³ per atom
DFT total energy = -7.467 eV per atom

Which formula does entry 3 have? GePIrCl2